# BaCu3Mo | Alexandria | PBE | relaxed
data_BaCu3Mo
_cell_length_a 4.8886
_cell_length_b 4.8886
_cell_length_c 4.8886
_cell_angle_alpha 90.00
_cell_angle_beta 90.00
_cell_angle_gamma 90.00
_space_group_name_H-M_alt 'P m -3 m'
_space_group_IT_number 221
_space_group_name_Hall '-P 4 2 3'
loop_
_atom_site_label
_atom_site_fract_x
_atom_site_fract_y
_atom_site_fract_z
Ba1 0.0000 0.0000 0.0000
Cu1 0.0000 0.5000 0.5000
Mo1 0.5000 0.5000 0.5000
# calculated formation energy: 706 meV per atom
# excess energy over the best structure of this formula in the dataset: 0 meV/atom


# LiNd2Hg4 | Alexandria | PBE | relaxed
data_LiNd2Hg4
_cell_length_a 4.8152
_cell_length_b 4.8152
_cell_length_c 16.1039
_cell_angle_alpha 90.00
_cell_angle_beta 90.00
_cell_angle_gamma 90.00
_space_group_name_H-M_alt 'I 4/m m m'
_space_group_IT_number 139
_space_group_name_Hall '-I 4 2'
loop_
_atom_site_label
_atom_site_fract_x
_atom_site_fract_y
_atom_site_fract_z
Li1 0.0000 0.0000 0.0000
Nd1 0.0000 0.0000 0.3595
Hg1 0.0000 0.0000 0.1662
Hg2 0.0000 0.5000 0.0000
# calculated formation energy: -256 meV per atom
# excess energy over the best structure of this formula in the dataset: 83 meV/atom


# Pm2Y5Tm2 | Alexandria | PBE | relaxed
data_Pm2Y5Tm2
_cell_length_a 8.7219
_cell_length_b 3.5861
_cell_length_c 9.6057
_cell_angle_alpha 90.00
_cell_angle_beta 103.10
_cell_angle_gamma 90.00
_space_group_name_H-M_alt 'P 1 2/m 1'
_space_group_IT_number 10
loop_
_space_group_symop_operation_xyz
'x,y,z'
'-x,-y,-z'
'-x,y,-z'
'x,-y,z'
loop_
_atom_site_label
_atom_site_fract_x
_atom_site_fract_y
_atom_site_fract_z
Pm1 0.0303 0.0000 0.1846
Y1 0.0000 0.5000 0.5000
Y2 0.3136 0.5000 0.0326
Y3 0.3567 0.0000 0.7119
Tm1 0.3379 0.5000 0.3889
# calculated formation energy: 22 meV per atom
# excess energy over the best structure of this formula in the dataset: 0 meV/atom


# Y3MgHg2 | Alexandria | PBE | relaxed
data_Y3MgHg2
_cell_length_a 3.7644
_cell_length_b 3.7644
_cell_length_c 11.1473
_cell_angle_alpha 90.00
_cell_angle_beta 90.00
_cell_angle_gamma 90.00
_space_group_name_H-M_alt 'P 4/m m m'
_space_group_IT_number 123
_space_group_name_Hall '-P 4 2'
loop_
_atom_site_label
_atom_site_fract_x
_atom_site_fract_y
_atom_site_fract_z
Y1 0.0000 0.0000 0.0000
Y2 0.0000 0.0000 0.3290
Mg1 0.5000 0.5000 0.5000
Hg1 0.5000 0.5000 0.1712
# calculated formation energy: -380 meV per atom
# excess energy over the best structure of this formula in the dataset: 13 meV/atom


# Tm2CdHg8 | Alexandria | PBE | relaxed
data_Tm2CdHg8
_cell_length_a 4.5775
_cell_length_b 4.5775
_cell_length_c 12.9814
_cell_angle_alpha 90.00
_cell_angle_beta 90.00
_cell_angle_gamma 90.00
_space_group_name_H-M_alt 'P 4/m m m'
_space_group_IT_number 123
_space_group_name_Hall '-P 4 2'
loop_
_atom_site_label
_atom_site_fract_x
_atom_site_fract_y
_atom_site_fract_z
Tm1 0.0000 0.0000 0.1825
Cd1 0.0000 0.0000 0.5000
Hg1 0.0000 0.5000 0.0000
Hg2 0.0000 0.5000 0.3533
Hg3 0.5000 0.5000 0.1751
# calculated formation energy: -203 meV per atom
# excess energy over the best structure of this formula in the dataset: 0 meV/atom


| no. | final energy (eV/atom) | density of states at the Fermi level (states/eV/f.u.) |
| --- | --- | --- |
| 1 | -4.302 | 6.53 |
| 2 | -2.064 | 8.28 |
| 3 | -5.618 | 14.12 |
| 4 | -3.978 | 6.21 |
| 5 | -1.319 | 5.52 |